First-principles (GGA-PBE) data for CeSmSiPd after structural relaxation, as listed in the Alexandria database.

Summary:
Total energy, eV/atom: -5.884

Cell: 7.2068 7.2068 7.2068 Å, 90.00 90.00 90.00°
Last column: nearest neighbours and their distance in Å.
Space group F-43m (No. 216)
Unique sites:
Ce  0.0000  0.0000  0.0000  4 Si 3.12, 4 Pd 3.12
Sm  0.0000  0.0000  0.5000  4 Pd 3.12, 4 Si 3.12
Si  0.2500  0.2500  0.7500  4 Sm 3.12, 4 Ce 3.12
Pd  0.2500  0.2500  0.2500  4 Ce 3.12, 4 Sm 3.12